1.
The following is a DFT calculation (PBE) of an optimized crystal structure of SmGe3Ru2.

Geometry as extended XYZ:
```
12
Lattice="-5.4823 1.1782 1.4241 -1.1818 -6.0131 0.4253 1.7715 1.3130 5.7335" Properties=species:S:1:pos:R:3 pbc="T T T"
Ru -3.2974 -3.8722 2.2617
Ru -1.5952 0.3503 5.3212
Ru 1.1460 -0.2388 4.6091
Ru -0.5562 -4.4613 1.5496
Ge -0.4619 -1.8434 5.6231
Ge -1.4387 -4.2667 3.8673
Ge -0.7944 -4.2975 6.3732
Ge -4.4307 -1.6785 1.9598
Ge -3.4539 0.7448 3.7156
Ge -4.0982 0.7756 1.2097
Sm -1.1629 -1.3605 2.5247
Sm -3.7297 -2.1615 5.0582
```

=====

2.
The following is a DFT calculation (PBE) of an optimized crystal structure of Sm2GeRu.

Geometry as extended XYZ:
```
4
Lattice="4.1746 0.0000 -1.1931 0.0000 3.9237 0.0000 -0.5683 0.0000 5.9115" Properties=species:S:1:pos:R:3 pbc="T T T"
Ru 1.1067 0.0000 3.8723
Sm 0.2837 0.0000 0.9928
Sm 3.0387 1.9618 2.7325
Ge 2.1289 1.9618 -0.4509
```

=====

3.
The following is a DFT calculation (PBE) of an optimized crystal structure of SmGe3Ru5.

Geometry as extended XYZ:
```
18
Lattice="3.0511 0.0000 0.0000 -1.5256 6.7658 0.0000 0.0000 0.0000 14.2669" Properties=species:S:1:pos:R:3 pbc="T T T"
Ru 0.0000 0.0000 0.0000
Ru 1.5256 0.4345 9.3122
Ru 0.0000 6.3313 2.1787
Ru 1.5256 4.2101 5.9855
Ru 0.0000 6.3313 4.9547
Ru 0.0000 2.5558 8.2813
Ru 1.5256 4.2101 1.1479
Ru 0.0000 0.0000 7.1334
Ru 0.0000 2.5558 13.1190
Ru 1.5256 0.4345 12.0882
Sm 1.5256 4.7339 10.7002
Sm 0.0000 2.0319 3.5667
Ge 1.5256 4.8235 3.5667
Ge 1.5256 1.8056 0.8040
Ge 0.0000 4.9603 13.4629
Ge 1.5256 1.8056 6.3294
Ge 0.0000 4.9603 7.9374
Ge 0.0000 1.9423 10.7002
```

=====

4.
The following is a DFT calculation (PBE) of an optimized crystal structure of SmGe3Ru3.

Output
E above lowest polymorph, eV/f.u.: 0.00

Geometry as extended XYZ:
```
14
Lattice="-4.5116 -5.0039 -0.2015 0.8875 -5.1696 -4.2334 2.3363 -6.7835 3.4072" Properties=species:S:1:pos:R:3 pbc="T T T"
Ru -1.9090 -8.3857 1.8152
Ru -3.0512 -9.5392 -0.8509
Ru 1.7633 -7.4177 -0.1768
Ru -0.3265 -11.0289 -1.1682
Ru 0.6211 -8.5712 -2.8429
Ru -0.9613 -5.9280 0.1404
Sm -0.1051 -13.5416 0.4157
Sm -1.1828 -3.4153 -1.4435
Ge -1.6149 -9.6771 -2.8077
Ge 0.3271 -7.2799 1.7799
Ge 0.3738 -6.3324 -1.9279
Ge -3.0377 -7.1795 -0.0412
Ge 1.7499 -9.7775 -0.9865
Ge -1.6616 -10.6245 0.9002
```

=====

5.
The following is a DFT calculation (PBE) of an optimized crystal structure of SmGe3Ru3.

Output
E above lowest polymorph, eV/f.u.: 1.89

Geometry as extended XYZ:
```
14
Lattice="6.6800 0.0000 0.0000 0.0000 6.6800 0.0000 0.0000 0.0000 6.6800" Properties=species:S:1:pos:R:3 pbc="T T T"
Ru 1.6700 0.0000 3.3400
Ru 0.0000 3.3400 1.6700
Ru 3.3400 1.6700 0.0000
Ru 0.0000 3.3400 5.0100
Ru 3.3400 5.0100 0.0000
Ru 5.0100 0.0000 3.3400
Ge 0.0000 5.0100 3.3400
Ge 5.0100 3.3400 0.0000
Ge 0.0000 1.6700 3.3400
Ge 1.6700 3.3400 0.0000
Ge 3.3400 0.0000 5.0100
Ge 3.3400 0.0000 1.6700
Sm 0.0000 0.0000 0.0000
Sm 3.3400 3.3400 3.3400
```

=====

6.
The following is a DFT calculation (PBE) of an optimized crystal structure of Sm3GeRu.

Geometry as extended XYZ:
```
10
Lattice="-2.5998 -2.3789 2.7385 5.8022 2.4372 3.9986 -3.8274 6.9242 2.3874" Properties=species:S:1:pos:R:3 pbc="T T T"
Sm 2.4583 0.8802 2.9828
Sm -0.0896 2.3680 5.4972
Sm -2.8298 4.5965 4.8320
Sm 1.3714 5.5761 6.0353
Sm -0.7530 3.0713 1.8355
Sm 3.1215 0.1769 6.6446
Ru -1.2355 5.2608 6.9228
Ru -0.2228 4.9117 3.9445
Ge -0.6714 0.2496 3.1003
Ge 3.0396 2.9979 5.3795
```

=====

7.
The following is a DFT calculation (PBE) of an optimized crystal structure of SmGe2Ru.

Geometry as extended XYZ:
```
4
Lattice="-1.8829 1.3852 4.2832 -4.6688 -0.9655 1.0392 -0.5329 -5.2029 4.2278" Properties=species:S:1:pos:R:3 pbc="T T T"
Ge -1.1690 -3.1445 3.2825
Ge -5.9156 -1.6387 6.2677
Sm -3.5423 -2.3916 4.7751
Ru 0.0000 0.0000 0.0000
```

=====

8.
The following is a DFT calculation (PBE) of an optimized crystal structure of SmGe12Ru4.

Geometry as extended XYZ:
```
17
Lattice="-4.1997 6.2444 -0.3015 -4.1942 -5.9429 -1.9524 2.5889 -0.9482 7.0085" Properties=species:S:1:pos:R:3 pbc="T T T"
Ru 1.2945 -0.4741 3.5042
Ru -2.0998 3.1222 -0.1508
Ru -2.9024 -0.3233 2.3773
Ru -2.0971 -2.9714 -0.9762
Ge -0.8011 -1.5389 2.7775
Ge -5.0038 0.8922 1.9771
Ge -0.0396 0.2275 5.4488
Ge -3.1281 -0.9689 0.0139
Ge -2.6768 0.3223 4.7407
Ge -1.3054 -3.7039 4.3660
Ge -5.7653 -0.8742 -0.6943
Ge -3.9464 -2.5097 2.8054
Ge -1.8585 1.8630 1.9492
Ge -4.4995 3.0572 0.3886
Ge -2.3645 3.5270 4.0563
Ge -3.4403 -4.1737 0.6982
Sm 0.0000 0.0000 0.0000
```

=====

9.
The following is a DFT calculation (PBE) of an optimized crystal structure of Sm2Ge6Ru.

Geometry as extended XYZ:
```
9
Lattice="3.8923 0.0000 -0.7414 0.0000 4.2420 0.0000 0.1498 0.0000 11.3737" Properties=species:S:1:pos:R:3 pbc="T T T"
Ru 3.0922 2.1210 5.6456
Ge 2.8485 0.0000 4.3662
Ge 2.3778 0.0000 1.8952
Ge 1.9083 2.1210 10.0180
Ge 3.5540 2.1210 8.0698
Ge 0.4077 2.1210 2.1401
Ge 0.8782 2.1210 4.6101
Sm 4.0280 0.0000 10.5580
Sm 1.4051 0.0000 7.3764
```

=====

10.
The following is a DFT calculation (PBE) of an optimized crystal structure of SmTcGe2Ru.

Geometry as extended XYZ:
```
5
Lattice="4.2800 0.0000 0.0000 0.0000 4.2800 0.0000 -2.1400 -2.1400 5.0763" Properties=species:S:1:pos:R:3 pbc="T T T"
Sm 0.0000 0.0000 0.0000
Ge 2.1400 2.1400 1.3090
Ge 0.0000 0.0000 3.7673
Tc 2.1400 0.0000 2.5381
Ru 0.0000 2.1400 2.5381
```

=====

11.
The following is a DFT calculation (PBE) of an optimized crystal structure of SmTmGeRu.

Geometry as extended XYZ:
```
4
Lattice="-4.4883 -1.9687 -0.6985 -0.5415 -4.9166 -0.2070 -2.2529 -2.4001 3.6977" Properties=species:S:1:pos:R:3 pbc="T T T"
Ge 0.0000 0.0000 0.0000
Sm -5.4621 -6.9640 2.0941
Tm -1.8207 -2.3213 0.6980
Ru -3.6414 -4.6427 1.3961
```

=====

12.
The following is a DFT calculation (PBE) of an optimized crystal structure of SmYGeRu.

Output
E above lowest polymorph, eV/f.u.: 0.00

Geometry as extended XYZ:
```
4
Lattice="-3.3014 2.7419 -0.2779 -1.4078 -2.0046 -3.0543 -1.2536 -4.5226 3.5461" Properties=species:S:1:pos:R:3 pbc="T T T"
Ge -2.7433 -0.0532 -1.2101
Ru -2.4226 -2.6289 2.8420
Y -4.4875 -1.9460 0.8361
Sm -0.8644 -0.9380 1.0141
```

=====

13.
The following is a DFT calculation (PBE) of an optimized crystal structure of SmYGeRu.

Output
E above lowest polymorph, eV/f.u.: 0.65

Geometry as extended XYZ:
```
4
Lattice="-1.7935 -4.3684 -1.6129 2.5386 -4.2095 0.8587 -1.7432 -3.3419 3.2702" Properties=species:S:1:pos:R:3 pbc="T T T"
Sm -0.4991 -5.9599 1.2580
Ru -0.7486 -8.9399 1.8870
Ge -0.2495 -2.9800 0.6290
Y 0.0000 0.0000 0.0000
```

=====

14.
The following is a DFT calculation (PBE) of an optimized crystal structure of SmZn2GeRu2.

Geometry as extended XYZ:
```
6
Lattice="4.5600 0.0000 0.0000 0.0000 4.5600 0.0000 0.0000 0.0000 5.6462" Properties=species:S:1:pos:R:3 pbc="T T T"
Ru 0.0000 2.2800 0.0000
Ru 2.2800 0.0000 0.0000
Sm 0.0000 0.0000 2.8231
Zn 2.2800 2.2800 4.1675
Zn 2.2800 2.2800 1.4787
Ge 0.0000 0.0000 0.0000
```

=====

15.
The following is a DFT calculation (PBE) of an optimized crystal structure of SnGe2Ru.

Geometry as extended XYZ:
```
4
Lattice="3.1855 0.0000 0.0000 1.5927 2.7587 0.0000 1.5927 0.9196 9.0576" Properties=species:S:1:pos:R:3 pbc="T T T"
Ge 4.7782 2.7587 2.8000
Ge 1.5927 0.9196 6.2577
Sn 0.0000 0.0000 0.0000
Ru 3.1855 1.8391 4.5288
```

=====

16.
The following is a DFT calculation (PBE) of an optimized crystal structure of Sn3GeRu.

Output
E above lowest polymorph, eV/f.u.: 4.40

Geometry as extended XYZ:
```
5
Lattice="-3.1539 3.8151 -1.7901 -4.1447 -2.4038 2.1793 0.7621 2.7154 4.4444" Properties=species:S:1:pos:R:3 pbc="T T T"
Sn 0.3810 1.3577 2.2222
Sn -1.5769 1.9075 -0.8951
Sn -2.0724 -1.2019 1.0897
Ru -3.2683 2.0633 2.4168
Ge 0.0000 0.0000 0.0000
```

=====

17.
The following is a DFT calculation (PBE) of an optimized crystal structure of Sn2GeRu3.

Geometry as extended XYZ:
```
6
Lattice="-3.7123 -2.2979 2.0752 1.6878 -4.5984 1.7637 1.1001 -0.6886 5.0418" Properties=species:S:1:pos:R:3 pbc="T T T"
Sn -0.5838 -2.8366 3.2785
Sn -0.3406 -4.7483 5.6022
Ru 0.5501 -0.3443 2.5209
Ru -1.8561 -1.1490 1.0376
Ru 0.8439 -2.2992 0.8819
Ge 0.0000 0.0000 0.0000
```

=====

18.
The following is a DFT calculation (PBE) of an optimized crystal structure of SnGeRu3.

Output
E above lowest polymorph, eV/f.u.: 5.21

Geometry as extended XYZ:
```
5
Lattice="4.9009 0.0000 0.0000 0.0000 4.9009 0.0000 0.0000 0.0000 4.9009" Properties=species:S:1:pos:R:3 pbc="T T T"
Ru 2.4504 0.0000 0.0000
Ru 0.0000 2.4504 0.0000
Ru 0.0000 0.0000 2.4504
Ge 2.4504 2.4504 2.4504
Sn 0.0000 0.0000 0.0000
```

=====

19.
The following is a DFT calculation (PBE) of an optimized crystal structure of SnGe2Ru.

Geometry as extended XYZ:
```
8
Lattice="-5.1514 -1.0828 2.3963 1.2010 -5.6577 0.0254 0.4890 -2.8222 6.7557" Properties=species:S:1:pos:R:3 pbc="T T T"
Ru -1.9752 -3.3702 1.2109
Ru -0.1426 -5.9251 3.9960
Ge -0.0714 -4.4401 2.1440
Ge -3.1599 -7.6848 7.1843
Ge -2.6470 -2.0264 3.0501
Ge -1.0447 -4.9742 5.9764
Sn -3.3188 -3.6376 5.1815
Sn 0.0000 0.0000 0.0000
```

=====

20.
The following is a DFT calculation (PBE) of an optimized crystal structure of Sn4Ge2Ru.

Geometry as extended XYZ:
```
7
Lattice="5.2146 0.0000 0.0000 0.0000 5.2146 0.0000 2.6073 2.6073 6.9324" Properties=species:S:1:pos:R:3 pbc="T T T"
Sn 0.0000 2.6073 0.0000
Sn 5.2146 5.2146 2.6143
Sn 2.6073 2.6073 4.3181
Sn 2.6073 0.0000 0.0000
Ge 2.6073 2.6073 1.7030
Ge 5.2146 5.2146 5.2294
Ru 0.0000 0.0000 0.0000
```

=====

In eV/f.u., the raw total energy values for the records above are, in order, -39.75; -25.61; -66.70; -47.92; -46.03; -30.28; -19.66; -97.72; -50.38; -36.20; -24.85; -27.43; -26.78; -30.82; -22.58; -19.92; -39.82; -27.41; -21.22; -32.03.
In Å³ per atom, the calculated volume values for the records above are, in order, 17.83; 23.54; 16.36; 19.46; 21.29; 26.18; 31.48; 19.34; 20.92; 18.60; 21.45; 23.05; 21.97; 19.57; 19.90; 29.17; 17.46; 23.54; 25.48; 26.93.